No. 1
TbPm2U2Ru5 | GGA-PBE | relaxed

Computed properties:
Symmetry = No. 127
Calculated total energy = -0.6281 Ry/atom
V = 20.79 A^3/atom
Calculated formation energy = -238 meV/atom

The structure in extended XYZ format:
```
20
Lattice="3.574 0.000 0.000 0.000 10.787 0.000 0.000 0.000 10.787" Properties=species:S:1:pos:R:3 pbc="T T T"
Tb 0.000 0.000 0.000
Tb 0.000 5.394 5.394
Ru 1.787 5.394 0.000
Ru 1.787 4.843 3.067
Ru 1.787 0.000 5.394
Ru 1.787 2.327 0.551
Ru 1.787 5.944 7.720
Ru 1.787 7.720 4.843
Ru 1.787 0.551 8.460
Ru 1.787 8.460 10.237
Ru 1.787 10.237 2.327
Ru 1.787 3.067 5.944
Pm 0.000 1.894 3.500
Pm 0.000 7.288 1.894
Pm 0.000 3.500 8.893
Pm 0.000 8.893 7.288
U 0.000 9.329 3.935
U 0.000 6.852 9.329
U 0.000 3.935 1.458
U 0.000 1.458 6.852
```


No. 2
Ni2Pd3Pt3 | GGA-PBE | relaxed

Computed properties:
Polymorph energy (0 for the lowest one) = 1.35 kJ per mole of atoms
Symmetry = No. 47
Calculated total energy = -0.4179 Ry/atom
V = 14.52 A^3/atom
Calculated formation energy = -27 meV/atom

The structure in extended XYZ format:
```
8
Lattice="-1.121 3.250 -1.788 1.058 -1.509 -3.407 -7.102 -2.946 -0.900" Properties=species:S:1:pos:R:3 pbc="T T T"
Pt -3.022 -2.227 -2.154
Pt -4.112 0.152 -1.344
Pt 0.529 -0.755 -1.703
Ni -1.787 -0.741 -0.226
Ni -5.315 -2.205 -0.674
Pd -5.365 -1.341 -3.273
Pd -0.561 1.625 -0.894
Pd -1.801 0.137 -2.822
```


No. 3
LiPaS2 | GGA-PBE | relaxed

Computed properties:
Polymorph energy (0 for the lowest one) = 5.50 kJ per mole of atoms
Symmetry = No. 160
Calculated total energy = -0.4654 Ry/atom
V = 20.15 A^3/atom

The structure in extended XYZ format:
```
4
Lattice="3.763 0.000 0.000 1.882 3.259 0.000 1.882 1.086 6.571" Properties=species:S:1:pos:R:3 pbc="T T T"
S 1.882 1.086 5.046
S 1.882 1.086 1.613
Pa 3.763 2.173 3.322
Li 5.645 3.259 6.447
```


No. 4
CeHfSnHg | GGA-PBE | relaxed

Computed properties:
Symmetry = No. 216
Calculated total energy = -0.3859 Ry/atom
V = 24.76 A^3/atom
Calculated formation energy = -203 meV/atom

The structure in extended XYZ format:
```
4
Lattice="5.193 0.000 0.000 2.597 4.498 0.000 2.597 1.499 4.240" Properties=species:S:1:pos:R:3 pbc="T T T"
Sn 2.597 1.499 1.060
Ce 5.193 2.998 2.120
Hf 0.000 0.000 0.000
Hg 7.790 4.498 3.180
```


No. 5
AcZn2Ag3 | GGA-PBE | relaxed

Computed properties:
Symmetry = No. 63
Calculated total energy = -0.2023 Ry/atom
V = 21.56 A^3/atom
Calculated formation energy = -218 meV/atom

The structure in extended XYZ format:
```
12
Lattice="-2.410 2.887 3.915 -5.974 -0.210 -3.523 -0.859 -5.783 3.737" Properties=species:S:1:pos:R:3 pbc="T T T"
Ag -2.181 1.838 2.948
Ag -2.745 -0.509 4.331
Ag -4.628 1.543 1.659
Ag -4.615 -4.649 2.470
Ag -6.498 -2.597 -0.203
Ag -7.063 -4.944 1.181
Ac -2.783 -1.191 1.047
Ac -6.460 -1.915 3.082
Zn -6.042 -0.006 0.050
Zn -3.202 -3.100 4.079
Zn -1.997 -4.544 2.122
Zn -4.837 -1.450 -1.908
```